# 1
# Mn2ZnRe (PBE, optimized geometry)
data_Mn2ZnRe
_chemical_formula_sum 'Mn2 Zn1 Re1'
_cell_length_a 4.4421
_cell_length_b 6.1076
_cell_length_c 2.7622
_cell_angle_alpha 63.05
_cell_angle_beta 90.04
_cell_angle_gamma 123.13
_space_group_name_H-M_alt 'P 1'
_space_group_IT_number 1
loop_
_space_group_symop_operation_xyz
'x,y,z'
loop_
_atom_site_label
_atom_site_fract_x
_atom_site_fract_y
_atom_site_fract_z
_atom_site_occupancy
Mn1 0.0000 0.5000 0.5000 1
Mn2 0.0000 0.0000 0.0000 1
Re1 0.5000 0.5000 0.0000 1
Zn1 0.5000 0.0000 0.5000 1
# Symmetry: Cmmm (65)
# ΔE_f, eV per atom: 0.127

---

# 2
# MnZnRe2 (PBE, optimized geometry)
data_MnZnRe2
_chemical_formula_sum 'Mn1 Zn1 Re2'
_cell_length_a 4.6369
_cell_length_b 4.6369
_cell_length_c 4.6369
_cell_angle_alpha 130.55
_cell_angle_beta 130.55
_cell_angle_gamma 72.54
_space_group_name_H-M_alt 'P 1'
_space_group_IT_number 1
loop_
_space_group_symop_operation_xyz
'x,y,z'
loop_
_atom_site_label
_atom_site_fract_x
_atom_site_fract_y
_atom_site_fract_z
_atom_site_occupancy
Re1 0.2500 0.7500 0.5000 1
Re2 0.0000 0.0000 0.0000 1
Mn1 0.7500 0.2500 0.5000 1
Zn1 0.5000 0.5000 0.0000 1
# Symmetry: I-4m2 (119)
# ΔE_f, eV per atom: 0.188

---

What density values result from the calculations? In sequence: 11.4; 14.5 g cm⁻³.
What DOS at the Fermi energy values result from the calculations? In sequence: 0.865; 0.834 states/eV per atom.
What total moment values result from the calculations? In sequence: 3.9; 2.7 μB per formula unit.